[1]
Compound: Ce2TmP3Ir12
Source: the Alexandria database
Functional: GGA-PBE
Structure: optimized geometry

Results
Total magnetization in μB per formula unit: 0.00
Formation enthalpy at 0 K in eV/atom: -0.20
E_tot in eV per atom: -7.9195

Structure (POSCAR):
```
Ce2TmP3Ir12
1.0
4.487 2.591 4.380
-4.487 2.591 4.380
0.000 -5.182 4.380
Ce Tm P Ir
2 1 3 12
Direct
0.120 0.120 0.120
0.880 0.880 0.880
0.500 0.500 0.500
0.000 0.500 0.500
0.500 0.000 0.500
0.500 0.500 0.000
0.134 0.134 0.602
0.134 0.602 0.134
0.157 0.680 0.680
0.320 0.320 0.843
0.320 0.843 0.320
0.398 0.866 0.866
0.602 0.134 0.134
0.680 0.157 0.680
0.680 0.680 0.157
0.843 0.320 0.320
0.866 0.398 0.866
0.866 0.866 0.398
```

=====

[2]
Compound: Ce2VP4Ir3
Source: the Alexandria database
Functional: GGA-PBE
Structure: optimized geometry

Results
Total magnetization in μB per formula unit: 2.82
Formation enthalpy at 0 K in eV/atom: -1.03
E_tot in eV per atom: -7.9558

Structure (POSCAR):
```
Ce2VP4Ir3
1.0
4.206 0.000 0.000
0.000 4.206 0.000
0.000 0.000 9.491
Ce V P Ir
2 1 4 3
Direct
0.000 0.500 0.242
0.500 0.000 0.758
0.000 0.000 0.500
0.000 0.000 0.000
0.000 0.500 0.633
0.500 0.000 0.367
0.500 0.500 0.000
0.000 0.500 0.888
0.500 0.000 0.112
0.500 0.500 0.500
```

=====

[3]
Compound: CeVP2Ir
Source: the Alexandria database
Functional: GGA-PBE
Structure: optimized geometry

Results
Total magnetization in μB per formula unit: 1.88
Formation enthalpy at 0 K in eV/atom: -0.96
E_tot in eV per atom: -7.9066

Structure (POSCAR):
```
CeVP2Ir
1.0
4.077 0.000 0.000
0.000 4.077 0.000
0.000 0.000 10.022
Ce V P Ir
2 2 4 2
Direct
0.000 0.000 0.000
0.500 0.500 0.500
0.000 0.500 0.750
0.500 0.000 0.250
0.000 0.000 0.373
0.000 0.000 0.627
0.500 0.500 0.127
0.500 0.500 0.873
0.000 0.500 0.250
0.500 0.000 0.750
```